{"formula": "Pm6Nd12In", "functional": "PBE", "state": "optimized geometry", "lattice": [[8.640, 0.714, 0.855], [-0.604, 8.649, 0.855], [-0.604, -0.704, 8.662]], "species": ["Pm", "Pm", "Pm", "Pm", "Pm", "Pm", "Nd", "Nd", "Nd", "Nd", "Nd", "Nd", "Nd", "Nd", "Nd", "Nd", "Nd", "Nd", "In"], "fractional_positions": [[0.742, 0.903, 0.293], [0.707, 0.258, 0.097], [0.097, 0.707, 0.258], [0.258, 0.097, 0.707], [0.293, 0.742, 0.903], [0.903, 0.293, 0.742], [0.783, 0.536, 0.432], [0.432, 0.783, 0.536], [0.536, 0.432, 0.783], [0.217, 0.464, 0.568], [0.568, 0.217, 0.464], [0.464, 0.568, 0.217], [0.016, 0.182, 0.361], [0.818, 0.639, 0.984], [0.639, 0.984, 0.818], [0.984, 0.818, 0.639], [0.182, 0.361, 0.016], [0.361, 0.016, 0.182], [0.000, 0.000, 0.000]], "formation_energy_ev_per_fu": 1.07, "space_group": "R-3, No. 148"}